[1]
The following is a PBE calculation of an optimized crystal structure of ZnCdOs, from Alexandria via LeMat-Bulk.

Cell lengths 2.8434, 2.8434, 12.6640 Å; angles 90.00, 90.00, 90.00 degrees
With the nearest neighbours (Å) after each atom.
Element x y z (fractional)
Os: 0.0000 0.5000 0.5654  8 Os 2.60-2.84, 4 Zn 2.73
Os: 0.5000 0.0000 0.4346  8 Os 2.60-2.84, 4 Zn 2.73
Zn: 0.0000 0.5000 0.2887  4 Os 2.73, 4 Zn 2.84
Zn: 0.5000 0.0000 0.7113  4 Os 2.73, 4 Zn 2.84
Cd: 0.5000 0.0000 0.1048  4 Cd 2.84, 4 Zn 3.08
Cd: 0.0000 0.5000 0.8952  4 Cd 2.84, 4 Zn 3.08

DFT formation energy in meV per atom: 108.8
Density of states at the Fermi level in states/eV per cell: 3.353
SG: P4/nmm, No. 129

=====

[2]
The following is a PBE calculation of an optimized crystal structure of Zr5CdOs4, from Alexandria via LeMat-Bulk.

Cell lengths 3.2765, 3.2765, 17.3141 Å; angles 90.00, 90.00, 90.00 degrees
With the nearest neighbours (Å) after each atom.
Element x y z (fractional)
Zr: 0.5000 0.5000 0.1185  4 Os 2.83, 4 Cd 3.09
Zr: 0.5000 0.5000 0.3089  8 Os 2.85
Zr: 0.5000 0.5000 0.5000  8 Os 2.84
Zr: 0.5000 0.5000 0.6911  8 Os 2.85
Zr: 0.5000 0.5000 0.8815  4 Os 2.83, 4 Cd 3.09
Cd: 0.0000 0.0000 0.0000  8 Zr 3.09, 4 Cd 3.28
Os: 0.0000 0.0000 0.2127  8 Zr 2.83-2.85
Os: 0.0000 0.0000 0.4046  8 Zr 2.84-2.85
Os: 0.0000 0.0000 0.5954  8 Zr 2.84-2.85
Os: 0.0000 0.0000 0.7873  8 Zr 2.83-2.85

DFT formation energy in meV per atom: -433.5
Density of states at the Fermi level in states/eV per cell: 4.916
SG: P4/mmm, No. 123

=====

[3]
The following is a PBE calculation of an optimized crystal structure of ZrCdOs4, from Alexandria via LeMat-Bulk.

Cell lengths 5.2458, 5.2458, 5.2458 Å; angles 60.00, 60.00, 60.00 degrees
With the nearest neighbours (Å) after each atom.
Element x y z (fractional)
Zr: 0.7500 0.7500 0.7500  12 Os 3.08, 4 Cd 3.21
Cd: 0.0000 0.0000 0.0000  12 Os 3.08, 4 Zr 3.21
Os: 0.8757 0.3748 0.3748  6 Os 2.62-2.63
Os: 0.3748 0.3748 0.8757  6 Os 2.62-2.63
Os: 0.3748 0.8757 0.3748  6 Os 2.62-2.63
Os: 0.3748 0.3748 0.3748  6 Os 2.62-2.63

DFT formation energy in meV per atom: 113.8
Density of states at the Fermi level in states/eV per cell: 7.613
SG: F-43m, No. 216

=====

[4]
The following is a PBE calculation of an optimized crystal structure of Zr3CdOs, from Alexandria via LeMat-Bulk.

Cell lengths 5.0724, 5.0724, 5.0724 Å; angles 90.00, 90.00, 90.00 degrees
With the nearest neighbours (Å) after each atom.
Element x y z (fractional)
Os: 0.0000 0.0000 0.0000  6 Zr 2.54
Zr: 0.0000 0.5000 0.0000  2 Os 2.54
Zr: 0.0000 0.0000 0.5000  2 Os 2.54
Zr: 0.5000 0.0000 0.0000  2 Os 2.54
Cd: 0.5000 0.5000 0.5000  12 Zr 3.59

DFT formation energy in meV per atom: 314.3
Density of states at the Fermi level in states/eV per cell: 8.977
SG: Pm-3m, No. 221

=====

[5]
The following is a PBE calculation of an optimized crystal structure of ZrCd4Os, from Alexandria via LeMat-Bulk.

Cell lengths 5.4803, 5.4803, 5.4803 Å; angles 60.00, 60.00, 60.00 degrees
With the nearest neighbours (Å) after each atom.
Element x y z (fractional)
Zr: 0.0000 0.0000 0.0000  12 Cd 3.21, 4 Os 3.36
Cd: 0.8740 0.3753 0.3753  6 Cd 2.73-2.75
Cd: 0.3753 0.3753 0.8740  6 Cd 2.73-2.75
Cd: 0.3753 0.8740 0.3753  6 Cd 2.73-2.75
Cd: 0.3753 0.3753 0.3753  6 Cd 2.73-2.75
Os: 0.7500 0.7500 0.7500  12 Cd 3.21, 4 Zr 3.36

DFT formation energy in meV per atom: 323.1
Density of states at the Fermi level in states/eV per cell: 0.087
SG: F-43m, No. 216

=====

[6]
The following is a PBE calculation of an optimized crystal structure of Cd5P, from Alexandria via LeMat-Bulk.

Cell lengths 6.4262, 6.4262, 7.8348 Å; angles 70.46, 70.46, 25.88 degrees
With the nearest neighbours (Å) after each atom.
Element x y z (fractional)
Cd: 0.9581 0.9581 0.0400  6 Cd 2.88-3.11, 2 P 2.94
Cd: 0.3056 0.3056 0.3887  6 Cd 2.88-3.10
Cd: 0.6533 0.6533 0.7375  6 Cd 2.88-3.11, 2 P 2.95
Cd: 0.6378 0.6378 0.2050  2 Cd 2.88, 2 P 3.01
Cd: 0.9729 0.9729 0.5731  2 Cd 2.88, 2 P 3.00
P: 0.3057 0.3057 0.8891  2 P 2.88, 8 Cd 2.94-3.01

DFT formation energy in meV per atom: 127.7
Density of states at the Fermi level in states/eV per cell: 1.682
SG: C2/m, No. 12

=====

[7]
The following is a PBE calculation of an optimized crystal structure of CdP4, from Alexandria via LeMat-Bulk.

Cell lengths 4.8937, 4.8937, 4.8937 Å; angles 90.00, 90.00, 90.00 degrees
With the nearest neighbours (Å) after each atom.
Element x y z (fractional)
P: 0.0000 0.0000 0.0000  12 P 3.46
P: 0.5000 0.0000 0.5000  2 Cd 2.45
P: 0.0000 0.5000 0.5000  2 Cd 2.45
P: 0.5000 0.5000 0.0000  2 Cd 2.45
Cd: 0.5000 0.5000 0.5000  6 P 2.45

DFT formation energy in meV per atom: 1664.7
Density of states at the Fermi level in states/eV per cell: 5.530
SG: Pm-3m, No. 221

=====

[8]
The following is a PBE calculation of an optimized crystal structure of CdP5, from Alexandria via LeMat-Bulk.

Cell lengths 6.2988, 6.2988, 3.1247 Å; angles 90.00, 90.00, 120.00 degrees
With the nearest neighbours (Å) after each atom.
Element x y z (fractional)
Cd: 0.0000 0.0000 0.0000  2 Cd 3.12
P: 0.3333 0.6667 0.0000  6 P 2.40
P: 0.6667 0.3333 0.0000  6 P 2.40
P: 0.5000 0.0000 0.5000  4 P 2.40
P: 0.0000 0.5000 0.5000  4 P 2.40
P: 0.5000 0.5000 0.5000  4 P 2.40

DFT formation energy in meV per atom: 491.1
Density of states at the Fermi level in states/eV per cell: 2.106
SG: P6/mmm, No. 191

=====

[9]
The following is a PBE calculation of an optimized crystal structure of CdP4, from Alexandria via LeMat-Bulk.

Cell lengths 5.1597, 5.1597, 5.1597 Å; angles 109.47, 109.47, 109.47 degrees
With the nearest neighbours (Å) after each atom.
Element x y z (fractional)
Cd: 0.0000 0.0000 0.0000  8 P 2.58
P: 0.5000 0.0000 0.0000  2 Cd 2.58
P: 0.5000 0.5000 0.5000  2 Cd 2.58
P: 0.0000 0.5000 0.0000  2 Cd 2.58
P: 0.0000 0.0000 0.5000  2 Cd 2.58

DFT formation energy in meV per atom: 1013.0
Density of states at the Fermi level in states/eV per cell: 2.392
SG: Im-3m, No. 229

=====

[10]
The following is a PBE calculation of an optimized crystal structure of CdP5, from Alexandria via LeMat-Bulk.

Cell lengths 5.4902, 5.4902, 5.4902 Å; angles 60.00, 60.00, 60.00 degrees
With the nearest neighbours (Å) after each atom.
Element x y z (fractional)
Cd: 0.0000 0.0000 0.0000  16 P 3.28-3.36
P: 0.2500 0.2500 0.2500  12 P 3.18, 4 Cd 3.36
P: 0.6030 0.6030 0.6030  3 P 2.26
P: 0.6030 0.6030 0.1911  3 P 2.26
P: 0.1911 0.6030 0.6030  3 P 2.26
P: 0.6030 0.1911 0.6030  3 P 2.26

DFT formation energy in meV per atom: 708.8
Density of states at the Fermi level in states/eV per cell: 3.000
SG: F-43m, No. 216

=====

[11]
The following is a PBE calculation of an optimized crystal structure of CdP4, from Alexandria via LeMat-Bulk.

Cell lengths 5.1344, 5.1344, 5.1344 Å; angles 102.07, 102.07, 125.57 degrees
With the nearest neighbours (Å) after each atom.
Element x y z (fractional)
Cd: 0.0000 0.0000 0.0000  4 P 2.73
P: 0.8688 0.4027 0.2715  1 P 2.11
P: 0.4027 0.1312 0.5339  1 P 2.11
P: 0.1312 0.5973 0.7285  1 P 2.11
P: 0.5973 0.8688 0.4661  1 P 2.11

DFT formation energy in meV per atom: 459.7
Density of states at the Fermi level in states/eV per cell: 1.952
SG: I4/m, No. 87

=====

[12]
The following is a PBE calculation of an optimized crystal structure of Cd5P, from Alexandria via LeMat-Bulk.

Cell lengths 5.2008, 5.2008, 5.5990 Å; angles 90.00, 90.00, 120.00 degrees
With the nearest neighbours (Å) after each atom.
Element x y z (fractional)
Cd: 0.6720 0.0000 0.0000  10 Cd 2.96-3.30, 2 P 3.28
Cd: 0.3280 0.3280 0.0000  10 Cd 2.96-3.30, 2 P 3.28
Cd: 0.0000 0.6720 0.0000  10 Cd 2.96-3.30, 2 P 3.28
Cd: 0.6667 0.3333 0.5000  3 P 3.00, 9 Cd 3.00-3.30
Cd: 0.3333 0.6667 0.5000  3 P 3.00, 9 Cd 3.00-3.30
P: 0.0000 0.0000 0.5000  12 Cd 3.00-3.28

DFT formation energy in meV per atom: 173.2
Density of states at the Fermi level in states/eV per cell: 2.584
SG: P-62m, No. 189

=====

[13]
The following is a PBE calculation of an optimized crystal structure of CdP7, from Alexandria via LeMat-Bulk.

Cell lengths 5.6661, 5.6661, 5.6661 Å; angles 60.00, 60.00, 60.00 degrees
With the nearest neighbours (Å) after each atom.
Element x y z (fractional)
Cd: 0.0000 0.0000 0.0000  12 P 2.83
P: 0.5000 0.5000 0.0000  2 Cd 2.83, 10 P 2.83
P: 0.5000 0.0000 0.5000  2 Cd 2.83, 10 P 2.83
P: 0.5000 0.0000 0.0000  2 Cd 2.83, 10 P 2.83
P: 0.0000 0.0000 0.5000  2 Cd 2.83, 10 P 2.83
P: 0.0000 0.5000 0.0000  2 Cd 2.83, 10 P 2.83
P: 0.0000 0.5000 0.5000  2 Cd 2.83, 10 P 2.83
P: 0.5000 0.5000 0.5000  12 P 2.83

DFT formation energy in meV per atom: 870.7
Density of states at the Fermi level in states/eV per cell: 4.984
SG: Fm-3m, No. 225

=====

[14]
The following is a PBE calculation of an optimized crystal structure of Cd5P, from Alexandria via LeMat-Bulk.

Cell lengths 3.2225, 3.2225, 12.5308 Å; angles 90.00, 90.00, 90.00 degrees
With the nearest neighbours (Å) after each atom.
Element x y z (fractional)
Cd: 0.0000 0.0000 0.8520  4 P 2.94, 8 Cd 3.18-3.22
Cd: 0.0000 0.0000 0.1480  4 P 2.94, 8 Cd 3.18-3.22
Cd: 0.5000 0.5000 0.6750  12 Cd 3.16-3.22
Cd: 0.5000 0.5000 0.3250  12 Cd 3.16-3.22
Cd: 0.0000 0.0000 0.5000  12 Cd 3.16-3.22
P: 0.5000 0.5000 0.0000  8 Cd 2.94, 4 P 3.22

DFT formation energy in meV per atom: 170.3
Density of states at the Fermi level in states/eV per cell: 2.846
SG: P4/mmm, No. 123